Compound: PrDy4Co2B6
Source: the Open Quantum Materials Database
Functional: PBE
Structure: optimized geometry

Geometry as CIF:
```
data_PrDy4Co2B6
_chemical_formula_sum 'Pr3 Dy12 Co6 B18'
_cell_length_a 5.4180
_cell_length_b 5.4180
_cell_length_c 23.4119
_cell_angle_alpha 90.00
_cell_angle_beta 90.00
_cell_angle_gamma 120.00
_space_group_name_H-M_alt 'R -3 m'
_space_group_IT_number 166
_space_group_name_Hall '-R 3 2"'
loop_
_atom_site_label
_atom_site_fract_x
_atom_site_fract_y
_atom_site_fract_z
Pr1 0.0000 0.0000 0.0000
Dy1 0.0000 0.0000 0.2507
Dy2 0.0000 0.0000 0.4170
Co1 0.0000 0.0000 0.1204
B1 0.0000 0.3314 0.5000
```

Results
calculated total energy = -252.4 eV for the cell shown